Material: ZrSc3Cl
Method: DFT, PBEsol
State: optimized geometry

Results
- E_tot (eV/atom) = -5.510
- total magnetic moment (Bohr magnetons per cell) = 0.000

abc: 5.212 5.212 5.212
angles: 90.00 90.00 90.00
Positions (direct):
Zr 0.000 0.000 0.000
Sc 0.000 0.000 0.500
Sc 0.000 0.500 0.000
Sc 0.500 0.000 0.000
Cl 0.500 0.500 0.500

---

Material: Be4SiAs
Method: DFT, PBEsol
State: optimized geometry

Results
- E_tot (eV/atom) = -4.101
- total magnetic moment (Bohr magnetons per cell) = 0.000

abc: 4.518 4.518 4.518
angles: 60.00 60.00 60.00
Positions (direct):
Be 0.124 0.124 0.124
Be 0.124 0.124 0.629
Be 0.124 0.629 0.124
Be 0.629 0.124 0.124
Si 0.750 0.750 0.750
As 0.500 0.500 0.500

---

Material: Li2Sc2Cu
Method: DFT, PBEsol
State: optimized geometry

Results
- E_tot (eV/atom) = -4.138
- DFT formation energy (meV/atom) = 157.8
- total magnetic moment (Bohr magnetons per cell) = 0.001

abc: 3.322 3.322 16.937
angles: 90.00 90.00 90.00
Positions (direct):
Li 0.000 0.500 0.250
Li 0.000 0.500 0.750
Li 0.500 0.000 0.250
Li 0.500 0.000 0.750
Sc 0.000 0.000 0.089
Sc 0.000 0.000 0.911
Sc 0.500 0.500 0.411
Sc 0.500 0.500 0.589
Cu 0.000 0.000 0.500
Cu 0.500 0.500 0.000

---

Material: Mg2BeS
Method: DFT, PBEsol
State: optimized geometry

Results
- E_tot (eV/atom) = -2.986
- total magnetic moment (Bohr magnetons per cell) = 0.000

abc: 6.845 6.845 6.447
angles: 90.00 90.00 90.00
Positions (direct):
Mg 0.230 0.750 0.125
Mg 0.250 0.230 0.875
Mg 0.250 0.270 0.375
Mg 0.270 0.750 0.625
Mg 0.730 0.250 0.625
Mg 0.750 0.730 0.375
Mg 0.750 0.770 0.875
Mg 0.770 0.250 0.125
Be 0.000 0.000 0.500
Be 0.000 0.500 0.750
Be 0.500 0.000 0.250
Be 0.500 0.500 0.000
S 0.000 0.000 0.000
S 0.000 0.500 0.250
S 0.500 0.000 0.750
S 0.500 0.500 0.500